Entry from the Alexandria database: a geometry-optimized Nd3CrO6 structure (PBE with a Hubbard U).

## Properties
**Raw total energy**: -161.743 eV/cell
**Crystal system**: orthorhombic
**Total magnetization**: 0.30 μB per atom

abc: 7.4163 7.4163 5.7143
angles: 90.00 90.00 102.66
Sites, in units of the cell vectors:
Nd 0.1035 0.8965 0.5000
Nd 0.1981 0.4131 0.5430
Nd 0.4131 0.1981 0.0430
Nd 0.5869 0.8019 0.5430
Nd 0.8019 0.5869 0.0430
Nd 0.8965 0.1035 0.0000
Cr 0.3146 0.6854 0.0754
Cr 0.6854 0.3146 0.5754
O 0.0894 0.6042 0.2456
O 0.1471 0.1721 0.2735
O 0.1721 0.1471 0.7735
O 0.2824 0.7176 0.7407
O 0.3958 0.9106 0.2456
O 0.4581 0.5419 0.2592
O 0.5419 0.4581 0.7592
O 0.6042 0.0894 0.7456
O 0.7176 0.2824 0.2407
O 0.8279 0.8529 0.2735
O 0.8529 0.8279 0.7735
O 0.9106 0.3958 0.7456